Entry from Alexandria via LeMat-Bulk: a relaxed LaCeScPa crystal (GGA-PBE).

## Properties
Calculated formation energy (eV/atom): 0.37
Size of the total moment (μB per formula unit): 1.3

a b c (Å): 5.413 5.413 5.413
angles (deg): 60.00 60.00 60.00
Fractional coordinates of all 4 atoms:
La (0.000, 0.000, 0.000)
Ce (0.500, 0.500, 0.500)
Sc (0.250, 0.250, 0.250)
Pa (0.750, 0.750, 0.750)